Ca2TeH | PBE | optimized geometry

Cell lengths 6.326, 6.326, 6.326 Å; angles 110.06, 110.06, 108.30 degrees
Fractional positions:
Ca 0.039 0.125 0.414
Ca 0.375 0.961 0.086
Ca 0.711 0.625 0.586
Ca 0.875 0.289 0.914
Te 0.250 0.750 0.500
Te 0.500 0.500 0.000
H 0.000 0.000 0.000
H 0.750 0.250 0.500

Properties
- Fermi-level density of states: 4.5 states/eV/cell
- E_tot: -27.8 eV for the cell shown
- ΔE to the lowest computed polymorph: 0.000 kcal/mol of atoms
- Spin magnetization: 2.000 μB per cell